Entry 1:
Here is a relaxed structure of Tb4ZnCo2 from the Alexandria database. Energies are from PBE.

Cell lengths 6.841, 7.058, 7.087 Å; angles 100.05, 101.12, 95.89 degrees
Fractional coordinates of all 14 atoms:
Tb: 0.000 0.000 0.000
Tb: 0.030 0.502 0.599
Tb: 0.090 0.506 0.111
Tb: 0.122 0.935 0.495
Tb: 0.500 0.929 0.144
Tb: 0.578 0.613 0.749
Tb: 0.614 0.427 0.210
Tb: 0.655 0.113 0.634
Zn: 0.292 0.287 0.396
Zn: 0.304 0.260 0.832
Co: 0.378 0.666 0.415
Co: 0.730 0.782 0.459
Co: 0.818 0.750 0.147
Co: 0.872 0.168 0.328

Results
Fermi-level density of states in states/eV/cell: 12.30
Space-group type: P1



Entry 2:
Here is a relaxed structure of Dy4Er6Tm from the Alexandria database. Energies are from PBE.

Cell lengths 5.537, 5.537, 25.391 Å; angles 90.00, 90.00, 119.34 degrees
Fractional coordinates of all 22 atoms:
Dy: 0.015 0.985 0.622
Dy: 0.015 0.985 0.878
Dy: 0.338 0.662 0.543
Dy: 0.338 0.662 0.957
Dy: 0.662 0.338 0.043
Dy: 0.662 0.338 0.457
Dy: 0.985 0.015 0.122
Dy: 0.985 0.015 0.378
Er: 0.000 0.000 0.000
Er: 0.000 0.000 0.500
Er: 0.011 0.989 0.750
Er: 0.321 0.679 0.105
Er: 0.321 0.679 0.395
Er: 0.346 0.654 0.682
Er: 0.346 0.654 0.818
Er: 0.654 0.346 0.182
Er: 0.654 0.346 0.318
Er: 0.679 0.321 0.605
Er: 0.679 0.321 0.895
Er: 0.989 0.011 0.250
Tm: 0.323 0.677 0.250
Tm: 0.677 0.323 0.750

Results
E above lowest polymorph in meV/atom: 0
Fermi-level density of states in states/eV/cell: 37.10
Space-group type: Cmcm



Entry 3:
Here is a relaxed structure of SrSb2Os from the Alexandria database. Energies are from PBE.

Cell lengths 3.592, 3.592, 28.285 Å; angles 90.00, 90.00, 120.00 degrees
Fractional coordinates of all 12 atoms:
Sr: 0.000 0.000 0.000
Sr: 0.333 0.667 0.667
Sr: 0.667 0.333 0.333
Sb: 0.000 0.000 0.526
Sb: 0.000 0.000 0.764
Sb: 0.333 0.667 0.192
Sb: 0.333 0.667 0.431
Sb: 0.667 0.333 0.098
Sb: 0.667 0.333 0.859
Os: 0.000 0.000 0.249
Os: 0.333 0.667 0.916
Os: 0.667 0.333 0.583

Results
Formation energy without anion corrections in meV per atom: 390
E above lowest polymorph in meV/atom: 634
Fermi-level density of states in states/eV/cell: 8.68
Space-group type: R3m



Entry 4:
Here is a relaxed structure of BeTlCu3 from the Alexandria database. Energies are from PBE.

Cell lengths 4.222, 4.222, 4.222 Å; angles 90.00, 90.00, 90.00 degrees
Fractional coordinates of all 5 atoms:
Be: 0.000 0.000 0.000
Tl: 0.500 0.500 0.500
Cu: 0.000 0.000 0.500
Cu: 0.000 0.500 0.000
Cu: 0.500 0.000 0.000

Results
E above lowest polymorph in meV/atom: 0
Fermi-level density of states in states/eV/cell: 1.46
Space-group type: Pm-3m



Entry 5:
Here is a relaxed structure of PmCoPt4 from the Alexandria database. Energies are from PBE.

Cell lengths 5.351, 5.351, 5.351 Å; angles 60.00, 60.00, 60.00 degrees
Fractional coordinates of all 6 atoms:
Pm: 0.000 0.000 0.000
Co: 0.750 0.750 0.750
Pt: 0.376 0.376 0.376
Pt: 0.376 0.376 0.873
Pt: 0.376 0.873 0.376
Pt: 0.873 0.376 0.376

Results
Fermi-level density of states in states/eV/cell: 10.90
Space-group type: F-43m



Entry 6:
Here is a relaxed structure of FeAgSb2 from the Alexandria database. Energies are from PBE.

Cell lengths 3.168, 3.168, 7.972 Å; angles 90.00, 90.00, 90.00 degrees
Fractional coordinates of all 4 atoms:
Fe: 0.000 0.000 0.000
Ag: 0.000 0.000 0.500
Sb: 0.500 0.500 0.201
Sb: 0.500 0.500 0.799

Results
Formation energy without anion corrections in meV per atom: 231
E above lowest polymorph in meV/atom: 70
Fermi-level density of states in states/eV/cell: 1.99
Space-group type: P4/mmm



Entry 7:
Here is a relaxed structure of LiTm3Pu3Se8 from the Alexandria database. Energies are from PBE.

Cell lengths 8.121, 8.121, 8.141 Å; angles 119.85, 119.85, 59.96 degrees
Fractional coordinates of all 15 atoms:
Li: 0.000 0.000 0.000
Tm: 0.000 0.500 0.000
Tm: 0.500 0.000 0.000
Tm: 0.500 0.500 0.000
Pu: 0.000 0.000 0.500
Pu: 0.000 0.500 0.500
Pu: 0.500 0.000 0.500
Se: 0.246 0.745 0.239
Se: 0.248 0.248 0.241
Se: 0.253 0.253 0.760
Se: 0.255 0.754 0.761
Se: 0.745 0.246 0.239
Se: 0.747 0.747 0.240
Se: 0.752 0.752 0.759
Se: 0.754 0.255 0.761

Results
Formation energy without anion corrections in meV per atom: -1593
Fermi-level density of states in states/eV/cell: 40.83
Space-group type: C2/m



Entry 8:
Here is a relaxed structure of Ac6TcAu3 from the Alexandria database. Energies are from PBE.

Cell lengths 7.590, 8.307, 13.076 Å; angles 90.00, 120.85, 90.00 degrees
Fractional coordinates of all 20 atoms:
Ac: 0.079 0.055 0.242
Ac: 0.079 0.445 0.742
Ac: 0.234 0.693 0.080
Ac: 0.234 0.807 0.580
Ac: 0.375 0.174 0.065
Ac: 0.375 0.326 0.565
Ac: 0.625 0.674 0.435
Ac: 0.625 0.826 0.935
Ac: 0.766 0.193 0.420
Ac: 0.766 0.307 0.920
Ac: 0.921 0.555 0.258
Ac: 0.921 0.945 0.758
Tc: 0.000 0.000 0.000
Tc: 0.000 0.500 0.500
Au: 0.322 0.112 0.768
Au: 0.322 0.388 0.268
Au: 0.500 0.000 0.500
Au: 0.500 0.500 0.000
Au: 0.678 0.612 0.732
Au: 0.678 0.888 0.232

Results
Fermi-level density of states in states/eV/cell: 17.86
Space-group type: P2_1/c



| no. | total DFT energy (no corrections) (eV per atom) |
| --- | --- |
| 1 | -5.00 |
| 2 | -4.44 |
| 3 | -4.90 |
| 4 | -3.28 |
| 5 | -6.46 |
| 6 | -4.66 |
| 7 | -7.34 |
| 8 | -4.91 |